## ErTm2Lu3Te2Os (PBE-GGA)

Data for crystalline ErTm2Lu3Te2Os at its relaxed geometry.

* theoretical density: 10.59 g/cm³
* VASP energy: -5.678 eV per atom
* space-group type: Amm2

abc: 4.019 8.137 8.137
angles: 119.66 90.00 90.00
Sites, in units of the cell vectors:
Lu  0.500  0.000  0.762
Te  0.500  0.666  0.333
Lu  0.500  0.238  0.238
Tm  0.000  0.385  0.000
Te  0.500  0.333  0.666
Tm  0.000  0.000  0.385
Er  0.000  0.614  0.614
Lu  0.500  0.762  0.000
Os  0.000  0.002  0.002